Entry 1:
{"formula": "Er3Co", "functional": "GGA-PBE", "state": "relaxed", "lattice": [[-2.548, -4.402, -0.367], [-0.364, -3.081, 4.048], [-4.474, -0.563, 2.382]], "species": ["Er", "Er", "Er", "Co"], "frac_coords": [[0.000, 0.000, 0.000], [0.250, 0.250, 0.250], [0.500, 0.500, 0.500], [0.750, 0.750, 0.750]]}


Entry 2:
{"formula": "Er8Co", "functional": "GGA-PBE", "state": "relaxed", "lattice": [[8.962, 0.000, 0.000], [-4.481, 7.761, 0.000], [0.000, 0.000, 3.595]], "species": ["Co", "Er", "Er", "Er", "Er", "Er", "Er", "Er", "Er"], "frac_coords": [[0.000, 0.000, 0.000], [0.000, 0.235, 0.500], [0.615, 0.000, 0.000], [0.765, 0.765, 0.500], [0.235, 0.000, 0.500], [0.667, 0.333, 0.500], [0.000, 0.615, 0.000], [0.333, 0.667, 0.500], [0.385, 0.385, 0.000]]}


Entry 3:
{"formula": "Er3Co", "functional": "GGA-PBE", "state": "relaxed", "lattice": [[6.875, 0.000, 0.000], [0.000, 9.258, 0.000], [0.000, 0.000, 6.158]], "species": ["Er", "Er", "Er", "Er", "Er", "Er", "Er", "Er", "Er", "Er", "Er", "Er", "Co", "Co", "Co", "Co"], "frac_coords": [[0.824, 0.567, 0.823], [0.324, 0.933, 0.677], [0.541, 0.250, 0.862], [0.176, 0.433, 0.177], [0.459, 0.750, 0.138], [0.676, 0.433, 0.323], [0.824, 0.933, 0.823], [0.676, 0.067, 0.323], [0.041, 0.250, 0.638], [0.959, 0.750, 0.362], [0.176, 0.067, 0.177], [0.324, 0.567, 0.677], [0.112, 0.750, 0.951], [0.388, 0.250, 0.451], [0.612, 0.750, 0.549], [0.888, 0.250, 0.049]]}


Entry 4:
{"formula": "ErCo3", "functional": "GGA-PBE", "state": "relaxed", "lattice": [[-3.646, 0.812, 2.150], [-3.566, 1.112, -2.149], [-3.309, -2.750, -0.253]], "species": ["Er", "Co", "Co", "Co"], "frac_coords": [[0.750, 0.750, 0.750], [0.500, 0.500, 0.500], [0.000, 0.000, 0.000], [0.250, 0.250, 0.250]]}


Entry 5:
{"formula": "ErCo3", "functional": "GGA-PBE", "state": "relaxed", "lattice": [[-1.913, 1.913, 3.840], [1.913, -1.913, 3.840], [1.913, 1.913, -3.840]], "species": ["Co", "Co", "Co", "Er"], "frac_coords": [[0.500, 0.500, 0.000], [0.750, 0.250, 0.500], [0.250, 0.750, 0.500], [0.000, 0.000, 0.000]]}


Entry 6:
{"formula": "ErCo3", "functional": "GGA-PBE", "state": "relaxed", "lattice": [[-0.841, 2.113, 3.075], [2.205, -2.261, 2.157], [3.009, 2.248, -0.721]], "species": ["Co", "Co", "Co", "Er"], "frac_coords": [[0.500, 0.000, 0.500], [0.000, 0.500, 0.500], [0.500, 0.500, 0.000], [0.000, 0.000, 0.000]]}


Entry 7:
{"formula": "Er3Co", "functional": "GGA-PBE", "state": "relaxed", "lattice": [[4.555, 0.000, 0.000], [0.000, 4.555, 0.000], [0.000, 0.000, 4.555]], "species": ["Er", "Er", "Er", "Co"], "frac_coords": [[0.500, 0.500, 0.000], [0.500, 0.000, 0.500], [0.000, 0.500, 0.500], [0.000, 0.000, 0.000]]}


Entry 8:
{"formula": "Er3Co", "functional": "GGA-PBE", "state": "relaxed", "lattice": [[6.964, 0.000, 0.000], [-3.482, 6.031, 0.000], [0.000, 0.000, 4.478]], "species": ["Er", "Er", "Er", "Er", "Er", "Er", "Co", "Co"], "frac_coords": [[0.631, 0.815, 0.250], [0.185, 0.369, 0.250], [0.815, 0.631, 0.750], [0.185, 0.815, 0.250], [0.369, 0.185, 0.750], [0.815, 0.185, 0.750], [0.333, 0.667, 0.750], [0.667, 0.333, 0.250]]}


no.,VASP energy (eV per atom),formation energy from the elements (kcal/mol of atoms)
1,-4.927,6.28
2,-4.890,-1.03
3,-5.387,-4.32
4,-6.322,3.42
5,-6.323,3.40
6,-6.374,2.24
7,-4.962,5.48
8,-5.065,3.09